Record 1
Compound: SiBr3Cl
Source: Alexandria via LeMat-Bulk
Functional: PBE-GGA
Structure: optimized geometry

a b c (Å): 5.339 5.339 5.339
angles (deg): 90.00 90.00 90.00
Site moments in Bohr magnetons follow the coordinates.
Fractional positions:
Br: 0.000 0.500 0.000  0.02
Si: 0.500 0.500 0.500  -0.25
Cl: 0.000 0.000 0.000  0.01
Br: 0.000 0.000 0.500  0.02
Br: 0.500 0.000 0.000  0.03

Results
Distance to the lowest polymorph of the same formula = 1.691 eV/atom
Fermi-level density of states = 0.942 states/eV per atom
Uncorrected energy = -1.6794 eV per atom
Energy relative to the elements, uncorrected = 0.78 eV per atom
Symmetry = No. 221
Total magnetization = 0.136 μB/atom


Record 2
Compound: SiBrCl3
Source: Alexandria via LeMat-Bulk
Functional: PBE-GGA
Structure: optimized geometry

a b c (Å): 5.225 5.225 5.225
angles (deg): 90.00 90.00 90.00
Fractional positions:
Cl: 0.000 0.000 0.500
Cl: 0.500 0.000 0.000
Br: 0.000 0.000 0.000
Si: 0.500 0.500 0.500
Cl: 0.000 0.500 0.000

Results
Distance to the lowest polymorph of the same formula = 1.860 eV/atom
Fermi-level density of states = 1.212 states/eV per atom
Uncorrected energy = -1.8016 eV per atom
Energy relative to the elements, uncorrected = 0.73 eV per atom
Symmetry = No. 221
Total magnetization = 0.000 μB/atom


Record 3
Compound: Si3BrCl
Source: Alexandria via LeMat-Bulk
Functional: PBE-GGA
Structure: optimized geometry

a b c (Å): 5.164 5.164 5.164
angles (deg): 90.00 90.00 90.00
Fractional positions:
Si: 0.000 0.000 0.500
Cl: 0.500 0.500 0.500
Br: 0.000 0.000 0.000
Si: 0.500 0.000 0.000
Si: 0.000 0.500 0.000

Results
Distance to the lowest polymorph of the same formula = 0.109 eV/atom
Fermi-level density of states = 1.013 states/eV per atom
Uncorrected energy = -2.5720 eV per atom
Energy relative to the elements, uncorrected = 1.39 eV per atom
Symmetry = No. 221
Total magnetization = 0.000 μB/atom


Record 4
Compound: Si3BrCl
Source: Alexandria via LeMat-Bulk
Functional: PBE-GGA
Structure: optimized geometry

a b c (Å): 4.997 4.997 4.997
angles (deg): 90.00 90.00 90.00
Site moments in Bohr magnetons follow the coordinates.
Fractional positions:
Si: 0.000 0.000 0.500  0.06
Cl: 0.000 0.000 0.000  0.00
Si: 0.500 0.000 0.000  0.08
Si: 0.000 0.500 0.000  0.10
Br: 0.500 0.500 0.500  0.19

Results
Distance to the lowest polymorph of the same formula = 0.000 eV/atom
Fermi-level density of states = 1.487 states/eV per atom
Uncorrected energy = -2.6814 eV per atom
Energy relative to the elements, uncorrected = 1.28 eV per atom
Symmetry = No. 221
Total magnetization = 0.204 μB/atom


Record 5
Compound: SiBrCl
Source: Alexandria via LeMat-Bulk
Functional: PBE-GGA
Structure: optimized geometry

a b c (Å): 3.911 3.911 6.879
angles (deg): 90.00 90.00 120.00
Fractional positions:
Si: 0.667 0.333 0.657
Cl: 0.333 0.667 0.453
Br: 0.000 0.000 0.890

Results
Fermi-level density of states = 0.000 states/eV per atom
Uncorrected energy = -3.3410 eV per atom
Energy relative to the elements, uncorrected = -0.36 eV per atom
Symmetry = No. 156
Total magnetization = 0.000 μB/atom


Record 6
Compound: SiSnBr2Cl
Source: Alexandria via LeMat-Bulk
Functional: PBE-GGA
Structure: optimized geometry

a b c (Å): 6.250 4.418 6.250
angles (deg): 90.00 90.00 90.00
Fractional positions:
Sn: 0.500 0.500 0.500
Cl: 0.000 0.000 0.000
Si: 0.000 0.500 0.000
Br: 0.500 0.000 0.000
Br: 0.000 0.000 0.500

Results
Fermi-level density of states = 0.737 states/eV per atom
Uncorrected energy = -2.4560 eV per atom
Energy relative to the elements, uncorrected = 0.47 eV per atom
Symmetry = No. 123
Total magnetization = 0.000 μB/atom